The following is a PBE-GGA calculation of a geometry-optimized Pm8Ga2Ru structure, from the Alexandria database.

Cell lengths 5.443, 6.966, 9.249 Å; angles 112.13, 107.11, 90.00 degrees
Atoms (fractional coordinates):
Pm  0.372  0.607  0.743
Pm  0.197  0.197  0.394
Pm  0.803  0.803  0.606
Pm  0.000  0.251  0.000
Pm  0.628  0.864  0.257
Pm  0.000  0.749  0.000
Pm  0.628  0.393  0.257
Pm  0.372  0.136  0.743
Ru  0.500  0.000  0.000
Ga  0.815  0.315  0.630
Ga  0.185  0.685  0.370

Output
Spin magnetization = 0.00 Bohr magnetons per cell
Energy relative to the elements = -217 meV per atom
Symmetry = Immm, No. 71